TbSmMgPt: relaxed, PBE.

The density of states at the Fermi level is 0.730 states/eV per atom. The symmetry is F-43m, No. 216. For the electronic total energy, the calculation gives -4.801 eV/atom.

Cell: 5.151 5.151 5.151 Å, 60.00 60.00 60.00°
Positions (direct):
Sm  0.750  0.750  0.750
Tb  0.250  0.250  0.250
Mg  0.000  0.000  0.000
Pt  0.500  0.500  0.500